(1)
# CdIn2Tc

CdIn2Tc after structural relaxation (GGA-PBE, Alexandria via LeMat-Bulk).

Computed properties:
E_form: 0.3395 eV/atom

Unit cell a=3.068 b=3.068 c=9.185 alpha=90.00 beta=90.00 gamma=90.00
Space group P4mm (No. 99)
Asymmetric unit:
Cd 0.000 0.000 0.000 (multiplicity 1)
In 0.000 0.000 0.582 (multiplicity 1)
In 0.500 0.500 0.285 (multiplicity 1)
Tc 0.500 0.500 0.789 (multiplicity 1)

=====

(2)
# MnTc2TeSe

MnTc2TeSe after structural relaxation (GGA-PBE, Alexandria via LeMat-Bulk).

Computed properties:
total DFT energy (no corrections): -5.530 eV per atom

Unit cell a=4.973 b=4.973 c=4.658 alpha=90.00 beta=90.00 gamma=90.00
Space group P4/mmm (No. 123)
Asymmetric unit:
Mn 0.000 0.000 0.000 (multiplicity 1)
Tc 0.000 0.500 0.500 (multiplicity 2)
Te 0.000 0.000 0.500 (multiplicity 1)
Se 0.500 0.500 0.000 (multiplicity 1)

=====

(3)
# TlCo2Si

TlCo2Si after structural relaxation (GGA-PBE, Alexandria via LeMat-Bulk).

Computed properties:
energy above the most stable polymorph in this dataset: 22 kJ/mol of formula units

Unit cell a=2.798 b=3.415 c=12.647 alpha=90.00 beta=90.00 gamma=90.00
Space group Imm2 (No. 44)
Asymmetric unit:
Tl 0.000 0.000 0.000 (multiplicity 2)
Co 0.000 0.000 0.362 (multiplicity 2)
Co 0.000 0.500 0.690 (multiplicity 2)
Si 0.000 0.500 0.245 (multiplicity 2)

=====

(4)
# EuMg2Bi

EuMg2Bi after structural relaxation (GGA-PBE, Alexandria via LeMat-Bulk).

Computed properties:
energy above the most stable polymorph in this dataset: 243 kJ/mol of formula units
E_form: 0.2491 eV/atom

Unit cell a=4.5782 b=4.5782 c=28.7484 alpha=90.00 beta=90.00 gamma=120.00
Space group R-3m (No. 166, hexagonal axes)
Asymmetric unit:
Eu 0.0000 0.0000 0.0000 (multiplicity 3)
Mg 0.0000 0.0000 0.1222 (multiplicity 6)
Bi 0.0000 0.0000 0.5000 (multiplicity 3)

=====

(5)
# UCuNi

UCuNi after structural relaxation (GGA-PBE, Alexandria via LeMat-Bulk).

Computed properties:
E_form: 0.0574 eV/atom

Unit cell a=2.951 b=2.951 c=10.431 alpha=90.00 beta=90.00 gamma=90.00
Space group I4mm (No. 107)
Asymmetric unit:
U 0.000 0.000 0.000 (multiplicity 2)
Cu 0.000 0.000 0.303 (multiplicity 2)
Ni 0.000 0.000 0.667 (multiplicity 2)

=====

(6)
# CaAgGe2

CaAgGe2 after structural relaxation (GGA-PBE, Alexandria via LeMat-Bulk).

Computed properties:
E_form: -0.3403 eV/atom

Unit cell a=14.177 b=4.387 c=11.261 alpha=90.00 beta=90.00 gamma=90.00
Space group Pnma (No. 62)
Asymmetric unit:
Ca 0.050 0.250 0.240 (multiplicity 4)
Ca 0.206 0.750 0.523 (multiplicity 4)
Ag 0.058 0.250 0.947 (multiplicity 4)
Ag 0.197 0.750 0.819 (multiplicity 4)
Ge 0.045 0.250 0.512 (multiplicity 4)
Ge 0.110 0.250 0.720 (multiplicity 4)
Ge 0.132 0.750 0.044 (multiplicity 4)
Ge 0.209 0.750 0.242 (multiplicity 4)

=====

(7)
# K2Cd2In

K2Cd2In after structural relaxation (GGA-PBE, Alexandria via LeMat-Bulk).

Computed properties:
energy above the most stable polymorph in this dataset: 102 kJ/mol of formula units
E_form: 0.1102 eV/atom

Unit cell a=10.216 b=10.216 c=3.526 alpha=90.00 beta=90.00 gamma=90.00
Space group P4/mbm (No. 127)
Asymmetric unit:
K 0.187 0.313 0.000 (multiplicity 4)
Cd 0.106 0.606 0.500 (multiplicity 4)
In 0.000 0.000 0.000 (multiplicity 2)

=====

(8)
# Mn2VCo

Mn2VCo after structural relaxation (GGA-PBE, Alexandria via LeMat-Bulk).

Computed properties:
energy above the most stable polymorph in this dataset: 29 kJ/mol of formula units
E_form: -0.0145 eV/atom

Unit cell a=3.533 b=3.533 c=3.648 alpha=90.00 beta=90.00 gamma=90.00
Space group P4/mmm (No. 123)
Asymmetric unit:
Mn 0.000 0.500 0.000 (multiplicity 2)
V 0.000 0.000 0.500 (multiplicity 1)
Co 0.500 0.500 0.500 (multiplicity 1)